Entry 1:
An optimized crystal structure of Tb2Dy5ErMg. Source: Alexandria, functional GGA-PBE.

Unit cell a=5.391 b=10.366 c=10.452 alpha=90.00 beta=90.00 gamma=105.07
Positions (direct):
Mg1 0.405 0.809 0.507
Dy1 0.986 0.972 0.508
Dy2 0.014 0.028 0.008
Dy3 0.500 0.999 0.758
Dy4 0.500 0.001 0.258
Mg2 0.595 0.191 0.007
Er1 0.794 0.588 0.508
Tb1 0.885 0.770 0.221
Dy5 0.382 0.764 0.008
Dy6 0.618 0.236 0.508
Dy7 0.711 0.422 0.809
Dy8 0.710 0.421 0.208
Er2 0.206 0.412 0.008
Dy9 0.289 0.578 0.309
Tb2 0.115 0.230 0.721
Dy10 0.290 0.579 0.708
Tb3 0.115 0.229 0.296
Tb4 0.885 0.771 0.796

Results
Space-group type: Cmc2_1, No. 36
Raw total energy (eV per cell): -75.02

=====

Entry 2:
An optimized crystal structure of Si3Se. Source: Alexandria, functional GGA-PBE.

Unit cell a=5.320 b=5.320 c=5.119 alpha=90.00 beta=90.00 gamma=92.48
Positions (direct):
Si1 0.267 0.229 0.250
Si2 0.229 0.267 0.750
Se1 0.228 0.772 0.250
Se2 0.772 0.228 0.750
Si3 0.733 0.771 0.750
Si4 0.262 0.738 0.750
Si5 0.738 0.262 0.250
Si6 0.771 0.733 0.250

Results
Space-group type: Cmcm, No. 63
Raw formation energy (eV per formula unit): 0.73
Raw total energy (eV per cell): -38.05

=====

Entry 3:
An optimized crystal structure of CaTa2Tc. Source: Alexandria, functional GGA-PBE.

Unit cell a=2.944 b=2.944 c=9.800 alpha=90.00 beta=90.00 gamma=111.61
Positions (direct):
Ta1 0.000 0.000 0.460
Ta2 0.000 0.000 0.040
Ca1 0.500 0.500 0.750
Tc1 0.500 0.500 0.250

Results
Space-group type: Cmmm, No. 65
E above lowest polymorph (kJ/mol of atoms): 8.1
Raw total energy (eV per cell): -34.67

=====

Entry 4:
An optimized crystal structure of CeHoTlRh. Source: Alexandria, functional GGA-PBE.

Unit cell a=3.435 b=3.435 c=8.219 alpha=90.00 beta=90.00 gamma=90.00
Each line ends with the local moment (μB).
Positions (direct):
Ho1 0.500 0.500 0.363  0.01
Ce1 0.500 0.500 0.781  0.62
Tl1 0.000 0.000 0.078  0.01
Rh1 0.000 0.000 0.563  -0.06

Results
Space-group type: P4mm, No. 99
E above lowest polymorph (kJ/mol of atoms): 0.0
Raw total energy (eV per cell): -22.42

=====

Entry 5:
An optimized crystal structure of Tb2Er3Pt4. Source: Alexandria, functional GGA-PBE.

Unit cell a=7.547 b=7.615 c=7.657 alpha=90.00 beta=90.00 gamma=109.80
Positions (direct):
Tb1 0.926 0.806 0.821
Tb2 0.074 0.194 0.179
Pt1 0.148 0.913 0.464
Er1 0.754 0.756 0.334
Pt2 0.352 0.087 0.964
Er2 0.500 0.500 0.000
Pt3 0.852 0.087 0.536
Er3 0.254 0.756 0.166
Pt4 0.868 0.491 0.136
Tb3 0.426 0.806 0.679
Pt5 0.648 0.913 0.036
Er4 0.000 0.500 0.500
Pt6 0.632 0.509 0.636
Pt7 0.132 0.509 0.864
Tb4 0.574 0.194 0.321
Er5 0.246 0.244 0.666
Pt8 0.368 0.491 0.364
Er6 0.746 0.244 0.834

Results
Space-group type: P2_1/c, No. 14
E above lowest polymorph (kJ/mol of atoms): 0.0
Raw total energy (eV per cell): -115.87

=====

Entry 6:
An optimized crystal structure of TcGeRu. Source: Alexandria, functional GGA-PBE.

Unit cell a=2.917 b=4.090 c=8.393 alpha=90.00 beta=90.00 gamma=110.89
Positions (direct):
Ru1 0.587 0.173 0.664
Ru2 0.587 0.173 0.336
Tc1 0.591 0.183 0.000
Ge1 0.302 0.603 0.173
Ge2 0.302 0.603 0.827
Tc2 0.299 0.598 0.500

Results
Space-group type: Amm2, No. 38
E above lowest polymorph (kJ/mol of atoms): 20.6
Raw total energy (eV per cell): -47.50

=====

Entry 7:
An optimized crystal structure of CuPd2Rh. Source: Alexandria, functional GGA-PBE.

Unit cell a=2.775 b=2.775 c=7.480 alpha=90.00 beta=90.00 gamma=90.00
Each line ends with the local moment (μB).
Positions (direct):
Cu1 0.500 0.500 0.000  0.07
Rh1 0.500 0.500 0.500  1.06
Pd1 0.000 0.000 0.760  0.34
Pd2 0.000 0.000 0.240  0.34

Results
Space-group type: P4/mmm, No. 123
E above lowest polymorph (kJ/mol of atoms): 0.0
Raw total energy (eV per cell): -21.78

=====

Entry 8:
An optimized crystal structure of InFe2Rh. Source: Alexandria, functional GGA-PBE.

Unit cell a=4.728 b=4.728 c=2.826 alpha=90.00 beta=90.00 gamma=110.18
Each line ends with the local moment (μB).
Positions (direct):
Fe1 0.000 0.000 0.000  2.73
Fe2 0.500 0.500 0.000  2.73
Rh1 0.000 0.500 0.500  0.55
In1 0.500 0.000 0.500  -0.10

Results
Space-group type: Cmmm, No. 65
Raw total energy (eV per cell): -26.47